No. 1
A plane-wave DFT calculation with GGA-PBE was carried out for a geometry-optimized SiNi4 structure.

ΔE to the lowest computed polymorph ... 0.521 eV/atom

Lattice parameters (Å, degrees): 3.1275 3.1275 12.3740 90.00 90.00 90.00
Space group I4/mmm (No. 139)
Asymmetric unit:
Si (0.0000, 0.0000, 0.0000) [2 per cell]
Ni (0.0000, 0.0000, 0.4045) [4 per cell]
Ni (0.0000, 0.5000, 0.2500) [4 per cell]


No. 2
A plane-wave DFT calculation with GGA-PBE was carried out for a geometry-optimized Si23Ni structure.

Lattice parameters (Å, degrees): 10.1934 10.1934 10.1934 90.00 90.00 90.00
Space group Pm-3n (No. 223)
Asymmetric unit:
Si (0.0000, 0.1165, 0.3082) [24 per cell]
Si (0.0000, 0.2500, 0.5000) [6 per cell]
Si (0.1820, 0.1820, 0.1820) [16 per cell]
Ni (0.0000, 0.0000, 0.0000) [2 per cell]


No. 3
A plane-wave DFT calculation with GGA-PBE was carried out for a geometry-optimized Si2Ni structure.

Lattice parameters (Å, degrees): 5.5959 5.5959 5.5959 90.00 90.00 90.00
Space group Pa-3 (No. 205)
Asymmetric unit:
Si (0.1279, 0.1279, 0.1279) [8 per cell]
Ni (0.0000, 0.0000, 0.5000) [4 per cell]


No. 4
A plane-wave DFT calculation with GGA-PBE was carried out for a geometry-optimized SiNi2 structure.

Lattice parameters (Å, degrees): 2.7185 11.8709 4.0989 90.00 90.00 90.00
Space group Cmc2_1 (No. 36)
Asymmetric unit:
Si (0.0000, 0.0988, 0.0000) [4 per cell]
Ni (0.0000, 0.2473, 0.6216) [4 per cell]
Ni (0.0000, 0.4340, 0.9843) [4 per cell]


No. 5
A plane-wave DFT calculation with GGA-PBE was carried out for a geometry-optimized Si2Ni structure.

Lattice parameters (Å, degrees): 20.7495 2.8970 2.5991 90.00 90.07 90.00
Space group C2/m (No. 12)
Asymmetric unit:
Si (0.0565, 0.0000, 0.0002) [4 per cell]
Si (0.1981, 0.0000, 0.0007) [4 per cell]
Ni (0.1223, 0.5000, 0.5000) [4 per cell]


No. 6
A plane-wave DFT calculation with GGA-PBE was carried out for a geometry-optimized SiNi2 structure.

Lattice parameters (Å, degrees): 12.2750 2.6554 4.1451 90.00 102.28 90.00
Space group C2/m (No. 12)
Asymmetric unit:
Si (0.1014, 0.0000, 0.2993) [4 per cell]
Ni (0.0639, 0.5000, 0.7885) [4 per cell]
Ni (0.2465, 0.0000, 0.7555) [4 per cell]


No. 7
A plane-wave DFT calculation with GGA-PBE was carried out for a geometry-optimized SiNi5 structure.

Lattice parameters (Å, degrees): 7.7781 3.5238 4.9594 90.00 107.80 90.00
Space group C2/m (No. 12)
Asymmetric unit:
Si (0.0000, 0.0000, 0.0000) [2 per cell]
Ni (0.0000, 0.0000, 0.5000) [2 per cell]
Ni (0.1627, 0.5000, 0.3293) [4 per cell]
Ni (0.1675, 0.5000, 0.8340) [4 per cell]


No. 8
A plane-wave DFT calculation with GGA-PBE was carried out for a geometry-optimized Si4Ni3 structure.

Lattice parameters (Å, degrees): 4.8428 4.8428 4.2711 90.00 90.00 120.00
Space group P6/mmm (No. 191)
Asymmetric unit:
Si (0.0000, 0.0000, 0.2487) [2 per cell]
Si (0.3333, 0.6667, 0.5000) [2 per cell]
Ni (0.0000, 0.5000, 0.0000) [3 per cell]


No. 9
A plane-wave DFT calculation with GGA-PBE was carried out for a geometry-optimized SiNi2 structure.

Lattice parameters (Å, degrees): 2.6311 12.0016 4.1778 90.00 90.00 90.00
Space group Amm2 (No. 38)
Asymmetric unit:
Si (0.0000, 0.1512, 0.0000) [4 per cell]
Ni (0.0000, 0.0000, 0.3380) [2 per cell]
Ni (0.5000, 0.0000, 0.8232) [2 per cell]
Ni (0.5000, 0.1842, 0.5041) [4 per cell]


No. 10
A plane-wave DFT calculation with GGA-PBE was carried out for a geometry-optimized Si5Ni3 structure.

ΔE to the lowest computed polymorph ... 0.123 eV/atom

Lattice parameters (Å, degrees): 6.9702 7.1161 3.9980 90.00 90.00 90.00
Space group Cmmm (No. 65)
Asymmetric unit:
Si (0.0000, 0.0000, 0.0000) [2 per cell]
Si (0.0000, 0.3023, 0.5000) [4 per cell]
Si (0.2500, 0.2500, 0.0000) [4 per cell]
Ni (0.0000, 0.5000, 0.0000) [2 per cell]
Ni (0.1953, 0.0000, 0.5000) [4 per cell]


No. 11
A plane-wave DFT calculation with GGA-PBE was carried out for a geometry-optimized Si23Ni3 structure.

Lattice parameters (Å, degrees): 10.1208 10.1208 10.1208 90.00 90.00 90.00
Space group Pm-3n (No. 223)
Asymmetric unit:
Si (0.0000, 0.1159, 0.3110) [24 per cell]
Si (0.0000, 0.2500, 0.5000) [6 per cell]
Si (0.1839, 0.1839, 0.1839) [16 per cell]
Ni (0.0000, 0.5000, 0.2500) [6 per cell]


No. 12
A plane-wave DFT calculation with GGA-PBE was carried out for a geometry-optimized SiNi2 structure.

Lattice parameters (Å, degrees): 2.6247 12.1095 4.2897 90.00 90.00 90.00
Space group Cmcm (No. 63)
Asymmetric unit:
Si (0.0000, 0.2106, 0.2500) [4 per cell]
Ni (0.0000, 0.1279, 0.7500) [4 per cell]
Ni (0.0000, 0.4454, 0.7500) [4 per cell]


We obtain uncorrected energy values of -5.51; -5.27; -5.49; -6.09; -5.74; -6.11; -6.00; -5.56; -6.10; -5.59; -5.05; -5.91 eV/atom for the records listed above, in that order.
We obtain uncorrected formation energy values of 19.0; 15.8; 4.6; -41.5; -18.7; -43.2; -26.7; 1.9; -42.5; -3.3; 40.3; -24.4 kJ per mole of atoms for the records listed above, in that order.
We obtain total magnetic moment values of 0.0904; 0.0207; 0.0000; 0.0000; 0.0000; 0.0000; 0.1347; 0.0000; 0.0000; 0.0000; 0.1059; 0.0000 μB per atom for the records listed above, in that order.